1.
! Pm2ThIn PBE-GGA optimized geometry; values from VASP
&SYSTEM
  ibrav = 0, nat = 4, ntyp = 3
/
ATOMIC_SPECIES
In 114.82 In.upf
Th 232.04 Th.upf
Pm 145.00 Pm.upf
ATOMIC_POSITIONS crystal
In 0.000 0.000 0.000
Th 0.500 0.500 0.500
Pm 0.250 0.250 0.250
Pm 0.750 0.750 0.750
CELL_PARAMETERS angstrom
-5.206 -1.462 -1.248
-2.634 -3.788 3.084
-4.182 1.537 3.308
! Energy relative to the elements: -0.2 eV per formula unit
! Crystal system: cubic
! Raw total energy: -4.9624 eV per atom
! Symmetry: Fm-3m, No. 225
! Energy above the lowest structure with this stoichiometry: 0.74 eV/f.u.


2.
! Pr4Os PBE-GGA optimized geometry; values from VASP
&SYSTEM
  ibrav = 0, nat = 10, ntyp = 2
/
ATOMIC_SPECIES
Pr 140.91 Pr.upf
Os 190.23 Os.upf
ATOMIC_POSITIONS crystal
Pr 0.863 0.863 0.863
Pr 0.863 0.410 0.863
Pr 0.863 0.863 0.410
Pr 0.387 0.840 0.387
Pr 0.387 0.387 0.387
Pr 0.410 0.863 0.863
Pr 0.387 0.387 0.840
Pr 0.840 0.387 0.387
Os 0.250 0.250 0.250
Os 0.000 0.000 0.000
CELL_PARAMETERS angstrom
0.000 5.646 5.646
5.646 0.000 5.646
5.646 5.646 0.000
! Energy relative to the elements: 2.1 eV per formula unit
! Crystal system: cubic
! Raw total energy: -5.6493 eV per atom
! Symmetry: Fd-3m, No. 227
! Energy above the lowest structure with this stoichiometry: 2.37 eV/f.u.


3.
! SrMn2CdSb PBE-GGA optimized geometry; values from VASP
&SYSTEM
  ibrav = 0, nat = 5, ntyp = 4
/
ATOMIC_SPECIES
Sb 121.76 Sb.upf
Mn 54.94 Mn.upf
Sr 87.62 Sr.upf
Cd 112.41 Cd.upf
ATOMIC_POSITIONS crystal
Sb 0.000 0.000 0.000
Mn 0.000 0.000 0.500
Mn 0.500 0.000 0.000
Sr 0.000 0.500 0.000
Cd 0.500 0.500 0.500
CELL_PARAMETERS angstrom
5.102 0.000 0.000
0.000 6.260 0.000
0.000 0.000 5.102
! Crystal system: tetragonal
! Raw total energy: -4.5224 eV per atom
! Symmetry: P4/mmm, No. 123
! E_form (uncorrected): 0.4893 eV per atom


4.
! KH3Au PBE-GGA optimized geometry; values from VASP
&SYSTEM
  ibrav = 0, nat = 20, ntyp = 3
/
ATOMIC_SPECIES
H 1.01 H.upf
K 39.10 K.upf
Au 196.97 Au.upf
ATOMIC_POSITIONS crystal
H 0.673 0.327 0.327
H 0.923 0.577 0.577
H 0.577 0.577 0.923
H 0.577 0.923 0.923
H 0.923 0.577 0.923
H 0.673 0.327 0.673
H 0.577 0.923 0.577
H 0.923 0.923 0.577
H 0.327 0.673 0.327
H 0.327 0.673 0.673
H 0.327 0.327 0.673
H 0.673 0.673 0.327
K 0.125 0.125 0.125
K 0.125 0.625 0.125
K 0.625 0.125 0.125
K 0.125 0.125 0.625
Au 0.625 0.625 0.625
Au 0.625 0.125 0.625
Au 0.125 0.625 0.625
Au 0.625 0.625 0.125
CELL_PARAMETERS angstrom
-1.068 4.250 5.803
-1.062 7.141 -0.869
-6.562 2.877 1.241
! Crystal system: cubic
! Raw total energy: -2.8287 eV per atom
! Symmetry: Fd-3m, No. 227
! Energy above the lowest structure with this stoichiometry: 1.16 eV/f.u.


5.
! Nd12Mn3H5 PBE-GGA optimized geometry; values from VASP
&SYSTEM
  ibrav = 0, nat = 80, ntyp = 3
/
ATOMIC_SPECIES
H 1.01 H.upf
Mn 54.94 Mn.upf
Nd 144.24 Nd.upf
ATOMIC_POSITIONS crystal
H 0.125 0.375 0.250
H 0.000 0.500 0.000
H 0.000 0.000 0.000
H 0.375 0.250 0.125
H 0.500 0.000 0.500
H 0.500 0.500 0.000
H 0.125 0.750 0.375
H 0.750 0.125 0.875
H 0.750 0.625 0.375
H 0.375 0.125 0.750
H 0.625 0.875 0.250
H 0.500 0.500 0.500
H 0.500 0.000 0.000
H 0.000 0.000 0.500
H 0.250 0.375 0.625
H 0.250 0.875 0.125
H 0.000 0.500 0.500
H 0.875 0.250 0.625
H 0.625 0.750 0.875
H 0.875 0.625 0.750
Mn 0.750 0.375 0.125
Mn 0.875 0.750 0.125
Mn 0.375 0.750 0.625
Mn 0.250 0.125 0.375
Mn 0.875 0.125 0.250
Mn 0.375 0.625 0.250
Mn 0.625 0.375 0.750
Mn 0.125 0.875 0.750
Mn 0.750 0.875 0.625
Mn 0.625 0.250 0.375
Mn 0.125 0.250 0.875
Mn 0.250 0.625 0.875
Nd 0.713 0.119 0.024
Nd 0.311 0.524 0.405
Nd 0.976 0.381 0.287
Nd 0.524 0.213 0.119
Nd 0.594 0.713 0.689
Nd 0.976 0.595 0.189
Nd 0.311 0.787 0.406
Nd 0.095 0.906 0.119
Nd 0.595 0.976 0.689
Nd 0.713 0.594 0.189
Nd 0.787 0.476 0.381
Nd 0.811 0.905 0.024
Nd 0.119 0.713 0.524
Nd 0.381 0.405 0.094
Nd 0.094 0.905 0.381
Nd 0.406 0.119 0.595
Nd 0.094 0.189 0.213
Nd 0.476 0.689 0.095
Nd 0.811 0.906 0.287
Nd 0.119 0.406 0.095
Nd 0.381 0.976 0.787
Nd 0.595 0.619 0.406
Nd 0.905 0.811 0.524
Nd 0.787 0.311 0.906
Nd 0.405 0.381 0.594
Nd 0.095 0.189 0.476
Nd 0.213 0.689 0.094
Nd 0.189 0.094 0.713
Nd 0.619 0.024 0.213
Nd 0.881 0.594 0.905
Nd 0.524 0.311 0.905
Nd 0.594 0.881 0.405
Nd 0.906 0.811 0.787
Nd 0.906 0.095 0.619
Nd 0.881 0.287 0.476
Nd 0.189 0.095 0.976
Nd 0.619 0.595 0.906
Nd 0.405 0.024 0.311
Nd 0.287 0.406 0.811
Nd 0.213 0.524 0.619
Nd 0.905 0.094 0.881
Nd 0.689 0.213 0.594
Nd 0.476 0.787 0.881
Nd 0.024 0.405 0.811
Nd 0.406 0.287 0.311
Nd 0.024 0.619 0.713
Nd 0.689 0.476 0.595
Nd 0.287 0.881 0.976
CELL_PARAMETERS angstrom
-8.899 0.164 10.340
9.652 -9.325 2.455
5.769 12.302 -1.230
! Crystal system: cubic
! Raw total energy: -5.0691 eV per atom
! Symmetry: Ia-3d, No. 230


6.
! Ac4Nd3Tl5 PBE-GGA optimized geometry; values from VASP
&SYSTEM
  ibrav = 0, nat = 12, ntyp = 3
/
ATOMIC_SPECIES
Ac 227.00 Ac.upf
Nd 144.24 Nd.upf
Tl 204.38 Tl.upf
ATOMIC_POSITIONS crystal
Ac 0.823 0.257 0.098
Ac 0.249 0.914 0.588
Ac 0.751 0.086 0.412
Ac 0.177 0.743 0.902
Nd 0.588 0.692 0.131
Nd 0.000 0.500 0.500
Nd 0.412 0.308 0.869
Tl 0.644 0.908 0.805
Tl 0.500 0.500 0.500
Tl 0.063 0.637 0.238
Tl 0.937 0.363 0.762
Tl 0.356 0.092 0.195
CELL_PARAMETERS angstrom
-3.074 0.779 -4.958
-8.768 -2.925 1.483
0.049 9.592 -2.017
! Energy relative to the elements: -2.7 eV per formula unit
! Crystal system: monoclinic
! Raw total energy: -3.7720 eV per atom
! Symmetry: C2/m, No. 12


7.
! Gd2PuOs PBE-GGA optimized geometry; values from VASP
&SYSTEM
  ibrav = 0, nat = 4, ntyp = 3
/
ATOMIC_SPECIES
Gd 157.25 Gd.upf
Os 190.23 Os.upf
Pu 244.00 Pu.upf
ATOMIC_POSITIONS crystal
Gd 0.000 0.000 0.810
Gd 0.000 0.000 0.190
Os 0.500 0.500 0.000
Pu 0.500 0.500 0.500
CELL_PARAMETERS angstrom
3.408 0.000 0.000
0.000 3.408 0.000
0.000 0.000 8.897
! Energy relative to the elements: 0.1 eV per formula unit
! Crystal system: tetragonal
! Raw total energy: -13.4147 eV per atom
! Symmetry: P4/mmm, No. 123
! Energy above the lowest structure with this stoichiometry: 0.00 eV/f.u.


8.
! LiLaY2 PBE-GGA optimized geometry; values from VASP
&SYSTEM
  ibrav = 0, nat = 4, ntyp = 3
/
ATOMIC_SPECIES
La 138.91 La.upf
Li 6.94 Li.upf
Y 88.91 Y.upf
ATOMIC_POSITIONS crystal
La 0.250 0.750 0.500
Li 0.750 0.250 0.500
Y 0.000 0.000 0.000
Y 0.500 0.500 0.000
CELL_PARAMETERS angstrom
6.312 0.003 0.000
2.594 5.755 0.000
-4.453 -2.879 3.425
! Energy relative to the elements: 0.8 eV per formula unit
! Crystal system: tetragonal
! Raw total energy: -4.7405 eV per atom
! Symmetry: I4/mmm, No. 139
! Energy above the lowest structure with this stoichiometry: 0.53 eV/f.u.


Number 1: size of the total moment 0.00 μB/atom, Fermi-level density of states 7.1 states/eV per cell. Number 2: size of the total moment 0.00 μB/atom, Fermi-level density of states 9.9 states/eV per cell. Number 3: size of the total moment 1.45 μB/atom, Fermi-level density of states 3.7 states/eV per cell. Number 4: size of the total moment 0.00 μB/atom, Fermi-level density of states 2.8 states/eV per cell. Number 5: size of the total moment 0.32 μB/atom, Fermi-level density of states 102.2 states/eV per cell. Number 6: size of the total moment 0.00 μB/atom, Fermi-level density of states 8.3 states/eV per cell. Number 7: size of the total moment 1.79 μB/atom, Fermi-level density of states 8.7 states/eV per cell. Number 8: size of the total moment 0.00 μB/atom, Fermi-level density of states 7.6 states/eV per cell.